Si2HgPdS | PBE | relaxed

The structure in extended XYZ format:
```
5
Lattice="4.680 0.000 0.000 0.000 5.017 0.000 0.000 0.000 4.680" Properties=species:S:1:pos:R:3 pbc="T T T"
Hg 2.340 2.509 2.340
S 0.000 2.509 0.000
Si 2.340 0.000 0.000
Si 0.000 0.000 2.340
Pd 0.000 0.000 0.000
```

Uncorrected energy in eV per cell: -18.07
DOS at the Fermi energy in states/eV/f.u.: 1.2
Raw formation energy in meV per atom: 481
Magnetization in μB per formula unit: 0.0
Volume in Å³/cell: 110


Ta2Hg2PdS6 | PBE | relaxed

The structure in extended XYZ format:
```
11
Lattice="-4.978 -3.470 -0.185 4.436 -0.951 4.035 -3.747 8.120 3.511" Properties=species:S:1:pos:R:3 pbc="T T T"
S -1.339 1.523 2.078
S -0.072 -0.094 4.831
S -2.951 2.177 5.283
S -3.322 -0.963 3.374
S -4.217 3.793 2.530
S -0.967 4.663 3.987
Pd -1.873 4.060 1.756
Ta -0.718 2.232 4.320
Ta -3.572 1.468 3.041
Hg -2.654 -2.848 0.857
Hg 2.112 -1.572 2.993
```

Uncorrected energy in eV per cell: -60.49
DOS at the Fermi energy in states/eV/f.u.: 5.1
Raw formation energy in meV per atom: -566
Magnetization in μB per formula unit: 0.0
Volume in Å³/cell: 280


HgTe2PdS | PBE | relaxed

The structure in extended XYZ format:
```
5
Lattice="-2.632 -4.785 0.985 1.832 -1.928 -4.469 4.478 -1.915 2.662" Properties=species:S:1:pos:R:3 pbc="T T T"
S 1.839 -4.314 -0.411
Hg 0.000 0.000 0.000
Te -1.316 -2.393 0.493
Te 2.239 -0.957 1.331
Pd 0.916 -0.964 -2.235
```

Uncorrected energy in eV per cell: -10.59
DOS at the Fermi energy in states/eV/f.u.: 5.6
Raw formation energy in meV per atom: 1064
Magnetization in μB per formula unit: 2.3
Volume in Å³/cell: 160


Tl2HgPd7S2 | PBE | relaxed

The structure in extended XYZ format:
```
12
Lattice="4.022 0.004 -0.105 0.009 4.022 -0.105 1.530 1.528 14.047" Properties=species:S:1:pos:R:3 pbc="T T T"
Hg 0.000 0.000 0.000
Pd 4.081 2.069 1.962
Pd 3.269 3.265 8.181
Pd 2.074 4.078 1.962
Pd 3.487 1.475 11.874
Pd 1.479 3.485 11.874
Pd 2.015 2.013 -0.105
Pd 2.292 2.289 5.655
Tl 1.307 1.305 8.411
Tl 4.253 4.248 5.426
S 2.109 2.106 3.278
S 3.451 3.447 10.559
```

Uncorrected energy in eV per cell: -51.84
DOS at the Fermi energy in states/eV/f.u.: 7.0
Raw formation energy in meV per atom: -184
Magnetization in μB per formula unit: 0.0
Volume in Å³/cell: 228


V2Hg2PdS6 | PBE | relaxed

The structure in extended XYZ format:
```
11
Lattice="-3.005 4.647 1.908 -1.784 -3.255 -4.526 -1.667 -6.009 7.064" Properties=species:S:1:pos:R:3 pbc="T T T"
Hg -2.090 -1.274 -2.913
Hg -2.699 2.666 0.295
S -3.944 -2.487 -0.619
S -1.635 -1.608 1.665
S -2.076 -4.954 2.765
S -4.822 -3.009 2.781
S -4.381 0.337 1.680
S -2.512 -2.130 5.065
V -3.396 -1.224 3.106
V -3.061 -3.393 1.340
Pd -0.834 -3.004 3.532
```

Uncorrected energy in eV per cell: -53.86
DOS at the Fermi energy in states/eV/f.u.: 4.4
Raw formation energy in meV per atom: -460
Magnetization in μB per formula unit: 0.3
Volume in Å³/cell: 255


YHg2PdS | PBE | relaxed

The structure in extended XYZ format:
```
5
Lattice="-3.079 -2.867 3.164 -1.829 -1.975 -3.569 3.687 -3.753 0.187" Properties=species:S:1:pos:R:3 pbc="T T T"
Y -0.610 -4.297 -0.109
Hg -1.540 -1.434 1.582
Hg 1.844 -1.876 0.094
S 0.000 0.000 0.000
Pd -0.914 -0.987 -1.784
```

Uncorrected energy in eV per cell: -15.94
DOS at the Fermi energy in states/eV/f.u.: 3.7
Raw formation energy in meV per atom: 90
Magnetization in μB per formula unit: 0.0
Volume in Å³/cell: 124


Hg2Sb2Pd | PBE | relaxed

The structure in extended XYZ format:
```
10
Lattice="-3.443 5.315 2.737 -3.118 1.098 -6.055 -4.386 -3.662 1.594" Properties=species:S:1:pos:R:3 pbc="T T T"
Sb -2.703 3.617 0.872
Sb -1.608 1.180 -1.713
Sb -3.859 2.797 -4.191
Sb -4.953 5.234 -1.605
Pd -3.281 3.207 -1.659
Pd 0.000 0.000 0.000
Hg -3.804 -0.602 -0.812
Hg -7.143 3.353 -0.912
Hg -4.973 1.861 1.630
Hg -5.974 0.890 -3.354
```

Uncorrected energy in eV per cell: -28.98
Energy above the most stable polymorph in this dataset in meV/atom: 0
DOS at the Fermi energy in states/eV/f.u.: 1.6
Raw formation energy in meV per atom: -90
Magnetization in μB per formula unit: 0.0
Volume in Å³/cell: 282


HgSbPd | PBE | relaxed

The structure in extended XYZ format:
```
3
Lattice="3.256 0.000 0.000 0.000 3.256 0.000 -1.628 -1.628 6.223" Properties=species:S:1:pos:R:3 pbc="T T T"
Pd 1.628 1.628 2.190
Sb 0.000 0.000 3.797
Hg 0.000 0.000 0.236
```

Uncorrected energy in eV per cell: -9.99
DOS at the Fermi energy in states/eV/f.u.: 1.2
Raw formation energy in meV per atom: -125
Magnetization in μB per formula unit: 0.0
Volume in Å³/cell: 66


HgSbPd2 | PBE | relaxed

The structure in extended XYZ format:
```
4
Lattice="-3.297 0.299 0.676 0.445 -1.667 2.905 1.154 5.719 3.105" Properties=species:S:1:pos:R:3 pbc="T T T"
Hg -0.849 2.175 3.343
Sb -1.426 -0.684 1.790
Pd 0.874 4.330 2.351
Pd 0.280 1.389 0.754
```

Uncorrected energy in eV per cell: -15.73
Energy above the most stable polymorph in this dataset in meV/atom: 64
DOS at the Fermi energy in states/eV/f.u.: 1.4
Raw formation energy in meV per atom: -231
Magnetization in μB per formula unit: 0.0
Volume in Å³/cell: 75


HgSb3Pd12 | PBE | relaxed

The structure in extended XYZ format:
```
16
Lattice="-2.305 2.849 1.727 -2.672 -0.327 -3.027 -7.974 -11.471 8.278" Properties=species:S:1:pos:R:3 pbc="T T T"
Pd -6.125 -5.729 6.025
Pd -4.154 -2.893 3.979
Pd -6.308 -7.317 3.648
Pd -8.286 -10.162 5.701
Pd -6.476 -4.475 3.489
Pd -2.360 -1.636 -0.451
Pd -2.176 -0.048 1.926
Pd -8.103 -8.574 8.078
Pd -4.524 -1.668 1.463
Pd -2.489 1.261 -0.650
Pd -8.427 -7.282 5.514
Pd -4.337 -4.481 1.602
Hg 0.000 0.000 0.000
Sb -1.938 -2.788 2.012
Sb -6.036 -8.683 6.266
Sb -3.987 -5.736 4.139
```

Uncorrected energy in eV per cell: -80.48
DOS at the Fermi energy in states/eV/f.u.: 4.0
Raw formation energy in meV per atom: -344
Magnetization in μB per formula unit: 0.0
Volume in Å³/cell: 267


HgSbPd5 | PBE | relaxed

The structure in extended XYZ format:
```
14
Lattice="4.929 -1.171 -1.425 0.454 5.046 -1.425 0.207 0.149 9.509" Properties=species:S:1:pos:R:3 pbc="T T T"
Pd 0.452 2.061 7.399
Pd 1.995 -0.300 2.645
Pd 1.341 4.141 5.707
Pd 1.500 2.480 3.318
Pd 4.091 1.545 3.341
Pd 3.596 4.324 4.015
Pd 2.931 0.710 8.073
Pd 2.659 3.315 -1.414
Pd 4.249 -0.116 0.952
Pd 5.138 1.963 -0.740
Sb 2.879 2.004 5.707
Sb 2.711 2.020 0.952
Hg 0.104 0.075 4.755
Hg 0.000 0.000 0.000
```

Uncorrected energy in eV per cell: -63.98
Energy above the most stable polymorph in this dataset in meV/atom: 64
DOS at the Fermi energy in states/eV/f.u.: 3.5
Raw formation energy in meV per atom: -229
Magnetization in μB per formula unit: 0.0
Volume in Å³/cell: 244


HgSb2Pd6 | PBE | relaxed

The structure in extended XYZ format:
```
9
Lattice="4.505 0.000 -0.183 0.000 7.401 0.000 -2.046 -3.700 5.249" Properties=species:S:1:pos:R:3 pbc="T T T"
Pd 0.070 2.209 1.745
Pd 2.253 1.770 -0.092
Pd 2.389 -1.491 3.321
Pd 0.070 5.192 1.745
Pd 2.253 5.631 -0.092
Pd 2.389 1.491 3.321
Sb 2.327 3.700 1.755
Sb 0.133 0.000 3.311
Hg 0.000 0.000 0.000
```

Uncorrected energy in eV per cell: -42.22
DOS at the Fermi energy in states/eV/f.u.: 3.2
Raw formation energy in meV per atom: -279
Magnetization in μB per formula unit: 0.0
Volume in Å³/cell: 172